Below is a geometry-optimized Sr4SiP4 structure, with properties calculated at the PBEsol level.

**Volume**: 1875.32 Å³ per cell
**Electronic total energy**: -5.07 eV/atom
**Symmetry**: P-43n
**Formation energy from raw total energies**: -1.0357 eV/atom

Geometry as extended XYZ:
```
72
Lattice="12.3318 0.0000 0.0000 0.0000 12.3318 0.0000 0.0000 0.0000 12.3318" Properties=species:S:1:pos:R:3 pbc="T T T"
P 11.0203 1.3114 11.0203
P 1.3114 11.0203 11.0203
Sr 4.5239 4.9957 10.5386
Sr 1.6420 4.3727 1.1702
Sr 4.3727 11.1616 10.6898
Si 9.2488 0.0000 6.1659
Sr 4.9957 1.7932 7.8079
P 1.2924 4.7519 4.3196
Sr 4.5239 7.3361 1.7932
P 11.0203 11.0203 1.3114
P 8.0122 11.0394 4.7519
P 7.5799 8.0122 1.2924
Sr 1.7968 10.5350 1.7968
Si 6.1659 3.0829 0.0000
P 11.0394 4.7519 8.0122
P 7.4583 10.4855 10.9177
Sr 7.3361 1.7932 4.5239
Si 0.0000 6.1659 3.0829
P 10.4855 10.9177 7.4583
Sr 10.5350 1.7968 1.7968
Sr 7.9627 7.9627 4.3691
P 1.4140 7.4583 1.8463
Sr 1.6420 7.9591 11.1616
Sr 7.8079 4.9957 1.7932
Sr 7.8079 7.3361 10.5386
Sr 7.9627 4.3691 7.9627
Sr 1.7932 4.5239 7.3361
P 1.8463 10.9177 4.8735
Sr 4.3691 4.3691 4.3691
P 8.0122 1.2924 7.5799
P 1.3114 1.3114 1.3114
Sr 4.9957 10.5386 4.5239
Si 3.0829 0.0000 6.1659
P 7.4773 4.8544 4.8544
P 4.7519 8.0122 11.0394
P 4.3196 11.0394 7.5799
Sr 10.5350 10.5350 10.5350
Si 0.0000 0.0000 0.0000
Sr 10.6898 7.9591 1.1702
Sr 1.7932 7.8079 4.9957
Sr 1.1702 10.6898 7.9591
P 10.4855 1.4140 4.8735
Sr 7.9591 11.1616 1.6420
Sr 7.3361 10.5386 7.8079
P 4.3196 1.2924 4.7519
P 4.8735 10.4855 1.4140
P 1.2924 7.5799 8.0122
P 1.8463 1.4140 7.4583
Sr 10.6898 4.3727 11.1616
Sr 4.3727 1.1702 1.6420
P 1.4140 4.8735 10.4855
Si 0.0000 6.1659 9.2488
Sr 4.3691 7.9627 7.9627
P 4.8544 7.4773 4.8544
Si 6.1659 9.2488 0.0000
P 10.9177 7.4583 10.4855
P 7.4773 7.4773 7.4773
P 4.8735 1.8463 10.9177
Sr 11.1616 1.6420 7.9591
Sr 1.1702 1.6420 4.3727
P 10.9177 4.8735 1.8463
Sr 10.5386 4.5239 4.9957
P 4.7519 4.3196 1.2924
P 7.5799 4.3196 11.0394
Si 6.1659 6.1659 6.1659
Sr 7.9591 1.1702 10.6898
P 11.0394 7.5799 4.3196
P 7.4583 1.8463 1.4140
P 4.8544 4.8544 7.4773
Sr 1.7968 1.7968 10.5350
Sr 11.1616 10.6898 4.3727
Sr 10.5386 7.8079 7.3361
```